# BaZrOs

BaZrOs after structural relaxation (PBE, Alexandria via LeMat-Bulk).

Geometry as extended XYZ:
```
3
Lattice="4.877 0.000 0.000 2.438 4.223 0.000 2.438 1.408 3.982" Properties=species:S:1:pos:R:3 pbc="T T T"
Os 7.315 4.223 2.986
Ba 4.877 2.815 1.991
Zr 0.000 0.000 0.000
```

Values from the calculation:
- formation enthalpy at 0 K (eV/atom) = 0.63
- excess energy over the best structure of this formula in the dataset (meV per atom) = 412
- symmetry = F-43m
- E (eV per atom) = -6.60
- size of the total moment (μB per formula unit) = 0.000

# Cs2Sc2Br

Cs2Sc2Br after structural relaxation (PBE, Alexandria via LeMat-Bulk).

Geometry as extended XYZ:
```
5
Lattice="-1.966 -3.187 3.709 -3.558 -1.810 -3.441 3.162 -9.187 -2.474" Properties=species:S:1:pos:R:3 pbc="T T T"
Sc -1.928 -3.440 -0.234
Sc -0.434 -10.744 -1.973
Br 0.000 0.000 0.000
Cs -0.783 -7.436 0.684
Cs -1.579 -6.748 -2.891
```

Values from the calculation:
- symmetry = I4/mmm
- E (eV per atom) = -2.48
- size of the total moment (μB per formula unit) = 2.720
- energy relative to the elements, uncorrected (kJ/mol of formula units) = 353

# Nd2BeSiRh6

Nd2BeSiRh6 after structural relaxation (PBE, Alexandria via LeMat-Bulk).

Geometry as extended XYZ:
```
10
Lattice="6.227 0.000 0.006 0.000 6.227 0.006 3.118 3.118 4.413" Properties=species:S:1:pos:R:3 pbc="T T T"
Nd 6.230 3.116 2.212
Nd 3.116 6.230 2.213
Si 0.000 0.000 0.000
Rh 6.230 6.230 2.280
Rh 4.721 4.721 4.416
Rh 1.603 4.625 0.006
Rh 4.625 4.624 0.010
Rh 7.742 4.721 4.419
Rh 3.116 3.116 2.145
Be 3.114 3.114 0.006
```

Values from the calculation:
- symmetry = Immm
- E (eV per atom) = -6.89
- size of the total moment (μB per formula unit) = 0.000
- energy relative to the elements, uncorrected (kJ/mol of formula units) = -592

# RbCuSe2S4

RbCuSe2S4 after structural relaxation (PBE, Alexandria via LeMat-Bulk).

Geometry as extended XYZ:
```
8
Lattice="-2.064 2.378 -4.859 2.498 -2.646 -5.806 -5.843 -2.736 -2.306" Properties=species:S:1:pos:R:3 pbc="T T T"
Se -4.934 -1.526 -5.550
Se -0.475 -1.478 -7.421
S -4.681 -1.979 -7.673
S -1.802 0.212 -7.824
S -1.086 -3.188 -6.205
S -3.250 -1.052 -4.240
Cu -1.673 -2.691 -4.056
Rb 0.000 0.000 0.000
```

Values from the calculation:
- symmetry = I222
- E (eV per atom) = -3.76
- size of the total moment (μB per formula unit) = 0.000
- energy relative to the elements, uncorrected (kJ/mol of formula units) = -145

# Sm3AsP2

Sm3AsP2 after structural relaxation (PBE, Alexandria via LeMat-Bulk).

Geometry as extended XYZ:
```
6
Lattice="-4.697 -6.487 4.659 -6.536 -1.221 6.452 3.559 3.846 -7.641" Properties=species:S:1:pos:R:3 pbc="T T T"
P -3.744 -2.569 3.703
P -7.489 -5.139 7.407
Sm -9.334 -6.405 9.233
Sm -1.899 -1.303 1.878
Sm -5.617 -3.854 5.555
As 0.000 0.000 0.000
```

Values from the calculation:
- formation enthalpy at 0 K (eV/atom) = -1.55
- symmetry = I4/mmm
- E (eV per atom) = -6.49
- size of the total moment (μB per formula unit) = 0.000

# PmAl2ZnCu

PmAl2ZnCu after structural relaxation (PBE, Alexandria via LeMat-Bulk).

Geometry as extended XYZ:
```
5
Lattice="4.266 0.000 0.000 0.000 4.242 0.000 -2.133 -2.121 5.207" Properties=species:S:1:pos:R:3 pbc="T T T"
Al 2.133 0.000 2.099
Al 0.000 0.000 0.508
Cu 2.133 2.121 3.332
Zn 0.000 2.121 2.039
Pm 0.000 0.000 4.645
```

Values from the calculation:
- formation enthalpy at 0 K (eV/atom) = -0.39
- symmetry = Imm2
- E (eV per atom) = -3.91
- size of the total moment (μB per formula unit) = 0.000